Below is crystalline CaPm2Au at its relaxed geometry, with properties calculated at the PBE-GGA level.

* calculated volume: 32.45 Å³/atom
* formation enthalpy at 0 K: -0.3213 eV/atom
* polymorph energy (0 for the lowest one): 48 meV/atom

```
data_CaPm2Au
_chemical_formula_sum 'Ca1 Pm2 Au1'
_cell_length_a 3.700
_cell_length_b 3.700
_cell_length_c 9.478
_cell_angle_alpha 90.00
_cell_angle_beta 90.00
_cell_angle_gamma 90.00
_symmetry_space_group_name_H-M 'P 1'
_symmetry_Int_Tables_number 1
loop_
_symmetry_equiv_pos_as_xyz
'x,y,z'
loop_
_atom_site_label
_atom_site_type_symbol
_atom_site_fract_x
_atom_site_fract_y
_atom_site_fract_z
Ca1 Ca 0.000 0.000 0.000
Pm1 Pm 0.500 0.500 0.314
Pm2 Pm 0.500 0.500 0.686
Au1 Au 0.000 0.000 0.500
```

Below is crystalline U2Mn5Si3 at its relaxed geometry, with properties calculated at the PBE-GGA level.

* calculated volume: 14.25 Å³/atom
* formation energy without anion corrections: -0.2706 eV/atom

```
data_U2Mn5Si3
_chemical_formula_sum 'U4 Mn10 Si6'
_cell_length_a 12.142
_cell_length_b 12.142
_cell_length_c 5.957
_cell_angle_alpha 90.00
_cell_angle_beta 90.00
_cell_angle_gamma 161.06
_symmetry_space_group_name_H-M 'P 1'
_symmetry_Int_Tables_number 1
loop_
_symmetry_equiv_pos_as_xyz
'x,y,z'
loop_
_atom_site_label
_atom_site_type_symbol
_atom_site_fract_x
_atom_site_fract_y
_atom_site_fract_z
U1 U 0.010 0.990 0.500
U2 U 0.321 0.679 0.507
U3 U 0.679 0.321 0.007
U4 U 0.990 0.010 0.000
Mn1 Mn 0.108 0.892 0.164
Mn2 Mn 0.203 0.797 0.284
Mn3 Mn 0.208 0.792 0.695
Mn4 Mn 0.371 0.629 0.001
Mn5 Mn 0.451 0.549 0.302
Mn6 Mn 0.549 0.451 0.802
Mn7 Mn 0.629 0.371 0.501
Mn8 Mn 0.792 0.208 0.195
Mn9 Mn 0.797 0.203 0.784
Mn10 Mn 0.892 0.108 0.664
Si1 Si 0.111 0.889 0.755
Si2 Si 0.272 0.728 0.995
Si3 Si 0.442 0.558 0.714
Si4 Si 0.558 0.442 0.214
Si5 Si 0.728 0.272 0.495
Si6 Si 0.889 0.111 0.255
```

Below is crystalline Li4PuAu at its relaxed geometry, with properties calculated at the PBE-GGA level.

* calculated volume: 18.12 Å³/atom
* formation enthalpy at 0 K: 0.0056 eV/atom

```
data_Li4PuAu
_chemical_formula_sum 'Li4 Pu1 Au1'
_cell_length_a 5.357
_cell_length_b 5.357
_cell_length_c 5.357
_cell_angle_alpha 60.00
_cell_angle_beta 60.00
_cell_angle_gamma 60.00
_symmetry_space_group_name_H-M 'P 1'
_symmetry_Int_Tables_number 1
loop_
_symmetry_equiv_pos_as_xyz
'x,y,z'
loop_
_atom_site_label
_atom_site_type_symbol
_atom_site_fract_x
_atom_site_fract_y
_atom_site_fract_z
Li1 Li 0.377 0.377 0.377
Li2 Li 0.377 0.377 0.868
Li3 Li 0.377 0.868 0.377
Li4 Li 0.868 0.377 0.377
Pu1 Pu 0.000 0.000 0.000
Au1 Au 0.750 0.750 0.750
```

Below is crystalline NpNi3H6 at its relaxed geometry, with properties calculated at the PBE-GGA level.

* electronic total energy: -51.3 eV per cell
* calculated volume: 7.75 Å³/atom

```
data_NpNi3H6
_chemical_formula_sum 'Np1 Ni3 H6'
_cell_length_a 4.965
_cell_length_b 4.965
_cell_length_c 4.965
_cell_angle_alpha 55.49
_cell_angle_beta 55.49
_cell_angle_gamma 55.49
_symmetry_space_group_name_H-M 'P 1'
_symmetry_Int_Tables_number 1
loop_
_symmetry_equiv_pos_as_xyz
'x,y,z'
loop_
_atom_site_label
_atom_site_type_symbol
_atom_site_fract_x
_atom_site_fract_y
_atom_site_fract_z
Np1 Np 0.000 0.000 0.000
Ni1 Ni 0.230 0.230 0.230
Ni2 Ni 0.547 0.547 0.547
Ni3 Ni 0.761 0.761 0.761
H1 H 0.141 0.491 0.840
H2 H 0.475 0.973 0.492
H3 H 0.491 0.840 0.141
H4 H 0.492 0.475 0.973
H5 H 0.840 0.141 0.491
H6 H 0.973 0.492 0.475
```

Below is crystalline NpCdPd at its relaxed geometry, with properties calculated at the PBE-GGA level.

* calculated volume: 20.49 Å³/atom
* formation enthalpy at 0 K: -0.0755 eV/atom

```
data_NpCdPd
_chemical_formula_sum 'Np1 Cd1 Pd1'
_cell_length_a 6.944
_cell_length_b 6.944
_cell_length_c 6.944
_cell_angle_alpha 154.62
_cell_angle_beta 154.62
_cell_angle_gamma 36.20
_symmetry_space_group_name_H-M 'P 1'
_symmetry_Int_Tables_number 1
loop_
_symmetry_equiv_pos_as_xyz
'x,y,z'
loop_
_atom_site_label
_atom_site_type_symbol
_atom_site_fract_x
_atom_site_fract_y
_atom_site_fract_z
Np1 Np 0.000 0.000 0.000
Cd1 Cd 0.303 0.303 0.000
Pd1 Pd 0.658 0.658 0.000
```

Below is crystalline Sm3Dy2Mg3 at its relaxed geometry, with properties calculated at the PBE-GGA level.

* calculated volume: 29.37 Å³/atom
* formation enthalpy at 0 K: -0.0659 eV/atom

```
data_Sm3Dy2Mg3
_chemical_formula_sum 'Sm3 Dy2 Mg3'
_cell_length_a 11.745
_cell_length_b 11.745
_cell_length_c 11.745
_cell_angle_alpha 161.41
_cell_angle_beta 152.92
_cell_angle_gamma 33.05
_symmetry_space_group_name_H-M 'P 1'
_symmetry_Int_Tables_number 1
loop_
_symmetry_equiv_pos_as_xyz
'x,y,z'
loop_
_atom_site_label
_atom_site_type_symbol
_atom_site_fract_x
_atom_site_fract_y
_atom_site_fract_z
Sm1 Sm 0.000 0.000 0.000
Sm2 Sm 0.375 0.875 0.500
Sm3 Sm 0.625 0.125 0.500
Dy1 Dy 0.236 0.236 0.000
Dy2 Dy 0.764 0.764 0.000
Mg1 Mg 0.118 0.618 0.500
Mg2 Mg 0.500 0.500 0.000
Mg3 Mg 0.882 0.382 0.500
```

- Among the records above, which one has the highest calculated volume?
  CaPm2Au

Please write out number 5 again, unchanged.
Below is crystalline NpCdPd at its relaxed geometry, with properties calculated at the PBE-GGA level.

* calculated volume: 20.49 Å³/atom
* formation enthalpy at 0 K: -0.0755 eV/atom

```
data_NpCdPd
_chemical_formula_sum 'Np1 Cd1 Pd1'
_cell_length_a 6.944
_cell_length_b 6.944
_cell_length_c 6.944
_cell_angle_alpha 154.62
_cell_angle_beta 154.62
_cell_angle_gamma 36.20
_symmetry_space_group_name_H-M 'P 1'
_symmetry_Int_Tables_number 1
loop_
_symmetry_equiv_pos_as_xyz
'x,y,z'
loop_
_atom_site_label
_atom_site_type_symbol
_atom_site_fract_x
_atom_site_fract_y
_atom_site_fract_z
Np1 Np 0.000 0.000 0.000
Cd1 Cd 0.303 0.303 0.000
Pd1 Pd 0.658 0.658 0.000
```

- Which of these has the highest calculated volume?
  CaPm2Au

- Look up the calculated volume of the sixth one.
  29.37 Å³/atom